Below is an optimized crystal structure of CaV2Sn, with properties calculated at the PBE-GGA level.

abc: 4.925 4.925 4.925
angles: 60.00 60.00 60.00
Fractional positions:
Sn1 0.500 0.500 0.500
V1 0.250 0.250 0.250
V2 0.750 0.750 0.750
Ca1 0.000 0.000 0.000

Computed properties:
Formation energy from the elements, eV per atom: 0.383
Calculated total energy, eV per atom: -5.68
Offset from the most stable computed form, eV per formula unit: 0.000

---

Below is an optimized crystal structure of Sc3Cu, with properties calculated at the PBE-GGA level.

abc: 6.256 6.256 4.822
angles: 90.00 90.00 120.00
Fractional positions:
Sc1 0.651 0.826 0.750
Sc2 0.349 0.174 0.250
Sc3 0.826 0.174 0.250
Sc4 0.174 0.349 0.750
Sc5 0.826 0.651 0.250
Sc6 0.174 0.826 0.750
Cu1 0.667 0.333 0.750
Cu2 0.333 0.667 0.250

Computed properties:
Formation energy from the elements, eV per atom: -0.007
Calculated total energy, eV per atom: -5.78
Offset from the most stable computed form, eV per formula unit: 0.519

---

Below is an optimized crystal structure of LiW2Se, with properties calculated at the PBE-GGA level.

abc: 4.676 3.712 3.712
angles: 90.00 90.00 90.00
Fractional positions:
W1 0.000 0.500 0.500
W2 0.000 0.000 0.000
Se1 0.500 0.000 0.500
Li1 0.500 0.500 0.000

Computed properties:
Calculated total energy, eV per atom: -7.26
Raw formation energy, meV per atom: 562

---

Below is an optimized crystal structure of LiEuHo, with properties calculated at the PBE-GGA level.

abc: 3.568 3.568 8.579
angles: 90.00 90.00 120.00
Fractional positions:
Li1 0.000 0.000 0.991
Ho1 0.333 0.667 0.681
Eu1 0.667 0.333 0.329

Computed properties:
Formation energy from the elements, eV per atom: 0.159
Calculated total energy, eV per atom: -5.43
Offset from the most stable computed form, eV per formula unit: 0.077

---

Below is an optimized crystal structure of Ba2YZr, with properties calculated at the PBE-GGA level.

abc: 7.490 7.490 7.490
angles: 150.32 132.71 56.83
Fractional positions:
Ba1 0.032 0.032 0.000
Ba2 0.468 0.468 0.000
Y1 0.750 0.250 0.500
Zr1 0.250 0.750 0.500

Computed properties:
Formation energy from the elements, eV per atom: 0.555
Calculated total energy, eV per atom: -4.16
Offset from the most stable computed form, eV per formula unit: 0.956

---

Below is an optimized crystal structure of SmB2H8, with properties calculated at the PBE-GGA level.

abc: 6.537 4.141 4.141
angles: 60.19 108.88 108.88
Fractional positions:
H1 0.791 0.936 0.425
H2 0.795 0.428 0.428
H3 0.791 0.425 0.936
H4 0.524 0.175 0.175
H5 0.209 0.064 0.575
H6 0.209 0.575 0.064
H7 0.476 0.825 0.825
H8 0.205 0.572 0.572
B1 0.277 0.760 0.760
B2 0.723 0.240 0.240
Sm1 0.000 0.000 0.000

Computed properties:
Calculated total energy, eV per atom: -4.33
Offset from the most stable computed form, eV per formula unit: 0.000

---

Below is an optimized crystal structure of Pm6Pr2Sm3, with properties calculated at the PBE-GGA level.

abc: 4.838 4.838 17.393
angles: 97.99 97.99 90.00
Fractional positions:
Pm1 0.622 0.122 0.243
Pm2 0.378 0.878 0.757
Pm3 0.301 0.301 0.602
Pm4 0.122 0.622 0.243
Pm5 0.878 0.378 0.757
Pm6 0.699 0.699 0.398
Sm1 0.800 0.800 0.600
Sm2 0.200 0.200 0.400
Sm3 0.000 0.000 0.000
Pr1 0.454 0.454 0.909
Pr2 0.546 0.546 0.091

Computed properties:
Formation energy from the elements, eV per atom: 0.259
Calculated total energy, eV per atom: -4.49

---

Below is an optimized crystal structure of Tb3PaN4, with properties calculated at the PBE-GGA level.

abc: 4.943 4.943 6.046
angles: 114.13 114.13 90.00
Fractional positions:
N1 0.234 0.234 0.469
N2 0.500 0.000 0.000
N3 0.766 0.766 0.531
N4 0.000 0.500 0.000
Tb1 0.750 0.250 0.500
Tb2 0.250 0.750 0.500
Tb3 0.500 0.500 0.000
Pa1 0.000 0.000 0.000

Computed properties:
Calculated total energy, eV per atom: -8.78
Offset from the most stable computed form, eV per formula unit: 0.000
Raw formation energy, meV per atom: -1694

---

Below is an optimized crystal structure of NbTlHgBr6, with properties calculated at the PBE-GGA level.

abc: 7.952 7.952 13.959
angles: 90.00 90.00 120.00
Fractional positions:
Br1 0.410 0.068 0.143
Br2 0.410 0.343 0.357
Br3 0.590 0.657 0.643
Br4 0.657 0.068 0.357
Br5 0.343 0.410 0.857
Br6 0.932 0.590 0.357
Br7 0.590 0.932 0.857
Br8 0.343 0.932 0.643
Br9 0.932 0.343 0.143
Br10 0.068 0.657 0.857
Br11 0.657 0.590 0.143
Br12 0.068 0.410 0.643
Tl1 0.333 0.667 0.250
Tl2 0.667 0.333 0.750
Hg1 0.000 0.000 0.000
Hg2 0.000 0.000 0.500
Nb1 0.333 0.667 0.750
Nb2 0.667 0.333 0.250

Computed properties:
Calculated total energy, eV per atom: -3.28
Raw formation energy, meV per atom: -748

---

Below is an optimized crystal structure of Zr4CuPt, with properties calculated at the PBE-GGA level.

abc: 7.492 5.867 8.032
angles: 136.83 90.00 90.00
Fractional positions:
Cu1 0.500 0.500 0.000
Cu2 0.000 0.000 0.000
Zr1 0.250 0.999 0.249
Zr2 0.750 0.001 0.751
Zr3 0.250 0.499 0.249
Zr4 0.867 0.755 0.254
Zr5 0.633 0.255 0.254
Zr6 0.750 0.501 0.751
Zr7 0.367 0.745 0.746
Zr8 0.133 0.245 0.746
Pt1 0.500 0.000 0.500
Pt2 0.000 0.500 0.500

Computed properties:
Formation energy from the elements, eV per atom: -0.296
Calculated total energy, eV per atom: -7.68
Offset from the most stable computed form, eV per formula unit: 0.922

---

Below is an optimized crystal structure of AcHgRh, with properties calculated at the PBE-GGA level.

abc: 4.084 4.738 4.738
angles: 120.00 90.00 90.00
Fractional positions:
Hg1 0.165 0.000 0.000
Ac1 0.666 0.667 0.333
Rh1 0.169 0.333 0.667

Computed properties:
Formation energy from the elements, eV per atom: -0.445
Calculated total energy, eV per atom: -4.37
Offset from the most stable computed form, eV per formula unit: 0.449

---

How do the records compare in mass density? In the order shown, they have 5.1; 4.0; 11.7; 5.7; 5.0; 3.3; 6.7; 10.5; 4.2; 8.6; 11.1 g/cm3.